! SbOs2C (PBE-GGA, optimized geometry); values from VASP
! Formation energy (no corrections) = 1.5593 eV per atom
! Energy = -7.3921 eV/atom
! Total magnetic moment = 0.000 μB/f.u.
! Fermi-level density of states = 1.58 states/eV per cell
! Relative energy among the computed polymorphs = 816 meV/atom
! Symmetry = Fm-3m, No. 225
&SYSTEM
  ibrav = 0, nat = 4, ntyp = 3
/
ATOMIC_SPECIES
Sb 121.76 Sb.upf
Os 190.23 Os.upf
C 12.01 C.upf
CELL_PARAMETERS angstrom
-1.885 -3.843 0.589
-1.960 -0.894 3.746
-4.308 -0.290 0.169
ATOMIC_POSITIONS crystal
Sb 0.500 0.500 0.500
Os 0.250 0.250 0.250
Os 0.750 0.750 0.750
C 0.000 0.000 0.000

---

! SbOs3C (PBE-GGA, optimized geometry); values from VASP
! Formation energy (no corrections) = 0.7427 eV per atom
! Energy = -8.6644 eV/atom
! Total magnetic moment = 0.000 μB/f.u.
! Fermi-level density of states = 4.78 states/eV per cell
! Relative energy among the computed polymorphs = 0 meV/atom
! Symmetry = Pm-3m, No. 221
&SYSTEM
  ibrav = 0, nat = 5, ntyp = 3
/
ATOMIC_SPECIES
Os 190.23 Os.upf
Sb 121.76 Sb.upf
C 12.01 C.upf
CELL_PARAMETERS angstrom
4.152 0.000 0.000
0.000 4.152 0.000
0.000 0.000 4.152
ATOMIC_POSITIONS crystal
Os 0.000 0.000 0.500
Os 0.000 0.500 0.000
Os 0.500 0.000 0.000
Sb 0.500 0.500 0.500
C 0.000 0.000 0.000

---

! SbOs2C (PBE-GGA, optimized geometry); values from VASP
! Formation energy (no corrections) = 0.7433 eV per atom
! Energy = -8.2082 eV/atom
! Total magnetic moment = 0.000 μB/f.u.
! Fermi-level density of states = 3.53 states/eV per cell
! Relative energy among the computed polymorphs = 0 meV/atom
! Symmetry = I-42d, No. 122
&SYSTEM
  ibrav = 0, nat = 8, ntyp = 3
/
ATOMIC_SPECIES
C 12.01 C.upf
Os 190.23 Os.upf
Sb 121.76 Sb.upf
CELL_PARAMETERS angstrom
-4.611 0.253 -2.635
0.254 -5.226 -0.945
-4.633 -3.367 2.420
ATOMIC_POSITIONS crystal
C 0.250 0.750 0.500
C 0.500 0.500 0.000
Os 0.375 0.480 0.750
Os 0.875 0.770 0.750
Os 0.520 0.125 0.250
Os 0.230 0.625 0.250
Sb 0.750 0.250 0.500
Sb 0.000 0.000 0.000

---

! Th3SbOsC (PBE-GGA, optimized geometry); values from VASP
! Formation energy (no corrections) = -0.3744 eV per atom
! Energy = -8.1803 eV/atom
! Total magnetic moment = 0.000 μB/f.u.
! Fermi-level density of states = 6.41 states/eV per cell
! Symmetry = P2_1/m, No. 11
&SYSTEM
  ibrav = 0, nat = 12, ntyp = 4
/
ATOMIC_SPECIES
Th 232.04 Th.upf
Sb 121.76 Sb.upf
C 12.01 C.upf
Os 190.23 Os.upf
CELL_PARAMETERS angstrom
4.236 0.000 0.000
0.000 8.812 0.610
0.000 -2.742 9.109
ATOMIC_POSITIONS crystal
Th 0.750 0.878 0.149
Th 0.250 0.562 0.859
Th 0.750 0.173 0.521
Th 0.250 0.122 0.851
Th 0.250 0.827 0.479
Th 0.750 0.438 0.141
Sb 0.750 0.818 0.774
Sb 0.250 0.182 0.226
C 0.750 0.912 0.399
C 0.250 0.088 0.601
Os 0.750 0.341 0.844
Os 0.250 0.659 0.156

---

! Y2SbOsC (PBE-GGA, optimized geometry); values from VASP
! Formation energy (no corrections) = -0.4681 eV per atom
! Energy = -7.9689 eV/atom
! Total magnetic moment = 0.000 μB/f.u.
! Fermi-level density of states = 2.96 states/eV per cell
! Symmetry = P4/mmm, No. 123
&SYSTEM
  ibrav = 0, nat = 5, ntyp = 4
/
ATOMIC_SPECIES
Y 88.91 Y.upf
Sb 121.76 Sb.upf
Os 190.23 Os.upf
C 12.01 C.upf
CELL_PARAMETERS angstrom
-2.849 3.904 1.524
-3.166 -3.212 2.311
2.146 0.272 3.318
ATOMIC_POSITIONS crystal
Y 0.000 0.500 0.000
Y 0.500 0.000 0.000
Sb 0.500 0.500 0.500
Os 0.000 0.000 0.500
C 0.000 0.000 0.000

---

! Sc3OsC (PBE-GGA, optimized geometry); values from VASP
! Energy = -6.7447 eV/atom
! Formation energy from the elements = 1145 meV/atom
! Total magnetic moment = 0.000 μB/f.u.
! Fermi-level density of states = 5.04 states/eV per cell
! Relative energy among the computed polymorphs = 1342 meV/atom
! Symmetry = Pm-3m, No. 221
&SYSTEM
  ibrav = 0, nat = 5, ntyp = 3
/
ATOMIC_SPECIES
Sc 44.96 Sc.upf
C 12.01 C.upf
Os 190.23 Os.upf
CELL_PARAMETERS angstrom
-3.513 -0.917 3.345
-2.932 -1.758 -3.561
1.853 -4.521 0.706
ATOMIC_POSITIONS crystal
Sc 0.500 0.000 0.000
Sc 0.000 0.500 0.000
Sc 0.000 0.000 0.500
C 0.500 0.500 0.500
Os 0.000 0.000 0.000

---

! ScOs2C2 (PBE-GGA, optimized geometry); values from VASP
! Energy = -8.7016 eV/atom
! Formation energy from the elements = 746 meV/atom
! Total magnetic moment = 0.000 μB/f.u.
! Fermi-level density of states = 7.91 states/eV per cell
! Relative energy among the computed polymorphs = 378 meV/atom
! Symmetry = P4/mbm, No. 127
&SYSTEM
  ibrav = 0, nat = 10, ntyp = 3
/
ATOMIC_SPECIES
C 12.01 C.upf
Sc 44.96 Sc.upf
Os 190.23 Os.upf
CELL_PARAMETERS angstrom
-0.849 -5.850 2.443
6.334 -0.674 0.587
-0.124 1.112 2.620
ATOMIC_POSITIONS crystal
C 0.824 0.676 0.000
C 0.324 0.824 0.000
C 0.676 0.176 0.000
C 0.176 0.324 0.000
Sc 0.000 0.000 0.000
Sc 0.500 0.500 0.000
Os 0.843 0.343 0.500
Os 0.157 0.657 0.500
Os 0.657 0.843 0.500
Os 0.343 0.157 0.500

---

! ScOs2C (PBE-GGA, optimized geometry); values from VASP
! Energy = -9.4368 eV/atom
! Formation energy from the elements = 67 meV/atom
! Total magnetic moment = 0.000 μB/f.u.
! Fermi-level density of states = 7.97 states/eV per cell
! Symmetry = I-42d, No. 122
&SYSTEM
  ibrav = 0, nat = 8, ntyp = 3
/
ATOMIC_SPECIES
Os 190.23 Os.upf
C 12.01 C.upf
Sc 44.96 Sc.upf
CELL_PARAMETERS angstrom
6.874 0.000 0.000
0.000 6.874 0.000
3.437 3.437 2.408
ATOMIC_POSITIONS crystal
Os 0.375 0.492 0.750
Os 0.875 0.758 0.750
Os 0.242 0.625 0.250
Os 0.508 0.125 0.250
C 0.250 0.750 0.500
C 0.500 0.500 0.000
Sc 0.000 0.000 0.000
Sc 0.750 0.250 0.500

---

! ScOs2C2 (PBE-GGA, optimized geometry); values from VASP
! Energy = -9.0799 eV/atom
! Formation energy from the elements = 368 meV/atom
! Total magnetic moment = 0.000 μB/f.u.
! Fermi-level density of states = 1.81 states/eV per cell
! Relative energy among the computed polymorphs = 0 meV/atom
! Symmetry = I4/mmm, No. 139
&SYSTEM
  ibrav = 0, nat = 5, ntyp = 3
/
ATOMIC_SPECIES
Sc 44.96 Sc.upf
C 12.01 C.upf
Os 190.23 Os.upf
CELL_PARAMETERS angstrom
3.824 0.000 0.000
0.000 3.824 0.000
1.912 1.912 4.453
ATOMIC_POSITIONS crystal
Sc 0.000 0.000 0.000
C 0.651 0.651 0.698
C 0.349 0.349 0.302
Os 0.250 0.750 0.500
Os 0.750 0.250 0.500

---

! Sc3OsC (PBE-GGA, optimized geometry); values from VASP
! Energy = -8.0867 eV/atom
! Formation energy from the elements = -197 meV/atom
! Total magnetic moment = 0.000 μB/f.u.
! Fermi-level density of states = 3.79 states/eV per cell
! Relative energy among the computed polymorphs = 0 meV/atom
! Symmetry = Pm-3m, No. 221
&SYSTEM
  ibrav = 0, nat = 5, ntyp = 3
/
ATOMIC_SPECIES
Os 190.23 Os.upf
Sc 44.96 Sc.upf
C 12.01 C.upf
CELL_PARAMETERS angstrom
-1.992 3.932 0.179
-3.910 -2.000 0.416
0.452 0.029 4.388
ATOMIC_POSITIONS crystal
Os 0.500 0.500 0.500
Sc 0.000 0.000 0.500
Sc 0.500 0.000 0.000
Sc 0.000 0.500 0.000
C 0.000 0.000 0.000

---

! ScTc2OsC (PBE-GGA, optimized geometry); values from VASP
! Energy = -9.5678 eV/atom
! Formation energy from the elements = -64 meV/atom
! Total magnetic moment = 1.128 μB/f.u.
! Fermi-level density of states = 7.21 states/eV per cell
! Symmetry = P4/mmm, No. 123
&SYSTEM
  ibrav = 0, nat = 5, ntyp = 4
/
ATOMIC_SPECIES
Os 190.23 Os.upf
Sc 44.96 Sc.upf
C 12.01 C.upf
Tc 98.00 Tc.upf
CELL_PARAMETERS angstrom
4.140 0.000 0.000
0.000 4.140 0.000
0.000 0.000 4.112
ATOMIC_POSITIONS crystal
Os 0.000 0.000 0.500
Sc 0.500 0.500 0.500
C 0.000 0.000 0.000
Tc 0.500 0.000 0.000
Tc 0.000 0.500 0.000

---

! Sc2ZnOsC (PBE-GGA, optimized geometry); values from VASP
! Energy = -7.3341 eV/atom
! Formation energy from the elements = -456 meV/atom
! Total magnetic moment = 0.000 μB/f.u.
! Fermi-level density of states = 1.22 states/eV per cell
! Symmetry = P4/mmm, No. 123
&SYSTEM
  ibrav = 0, nat = 5, ntyp = 4
/
ATOMIC_SPECIES
Sc 44.96 Sc.upf
Zn 65.41 Zn.upf
Os 190.23 Os.upf
C 12.01 C.upf
CELL_PARAMETERS angstrom
4.561 0.000 0.000
0.000 4.561 0.000
0.000 0.000 3.883
ATOMIC_POSITIONS crystal
Sc 0.500 0.000 0.000
Sc 0.000 0.500 0.000
Zn 0.500 0.500 0.500
Os 0.000 0.000 0.500
C 0.000 0.000 0.000